# 1
The following is a DFT calculation (PBE) of CsCd2GaRh after structural relaxation.

Lattice parameters (Å, degrees): 5.4188 5.4188 4.8627 90.00 90.00 90.00
With the nearest neighbours (Å) after each atom.
Positions (direct):
Cs (0.0000, 0.0000, 0.0000)  8 Cd 3.64, 4 Ga 3.83
Cd (0.0000, 0.5000, 0.5000)  2 Rh 2.71
Cd (0.5000, 0.0000, 0.5000)  2 Rh 2.71
Ga (0.5000, 0.5000, 0.0000)  2 Rh 2.43
Rh (0.5000, 0.5000, 0.5000)  2 Ga 2.43, 4 Cd 2.71

Output
Space-group type ... P4/mmm
Energy of formation ... -1.01 eV/f.u.
Raw total energy ... -2.814 eV per atom

# 2
The following is a DFT calculation (PBE) of LaCe2Nd3As6 after structural relaxation.

Lattice parameters (Å, degrees): 7.3989 7.3989 7.3950 99.60 99.60 119.99
With the nearest neighbours (Å) after each atom.
Positions (direct):
La (0.0000, 0.0000, 0.0000)  6 As 3.05
Ce (0.3329, 0.6671, 0.0000)  6 As 2.99
Ce (0.6671, 0.3329, 0.0000)  6 As 2.99
Nd (0.1654, 0.8346, 0.5000)  6 As 3.00-3.05
Nd (0.5000, 0.5000, 0.5000)  6 As 2.99-3.05
Nd (0.8346, 0.1654, 0.5000)  6 As 3.00-3.05
As (0.0825, 0.4221, 0.2471)  2 Ce 2.99, 3 Nd 3.00-3.05, 1 La 3.05
As (0.2574, 0.2574, 0.7531)  2 Ce 2.99, 3 Nd 2.99-3.04, 1 La 3.05
As (0.4221, 0.0825, 0.2471)  2 Ce 2.99, 3 Nd 3.00-3.05, 1 La 3.05
As (0.5779, 0.9175, 0.7529)  2 Ce 2.99, 3 Nd 3.00-3.05, 1 La 3.05
As (0.7426, 0.7426, 0.2469)  2 Ce 2.99, 3 Nd 2.99-3.04, 1 La 3.05
As (0.9175, 0.5779, 0.7529)  2 Ce 2.99, 3 Nd 3.00-3.05, 1 La 3.05

Output
Space-group type ... C2/m
Energy of formation ... -17.98 eV/f.u.
Raw total energy ... -6.415 eV per atom